! Tb2Nd5YHo, relaxed, DFT PBE-GGA; values from VASP
! Volume: 34.6 A^3/atom
! Total magnetic moment: 0.000 μB/cell
! Energy of formation from the pure elements: 0.14 eV/atom
! Theoretical density: 6.90 g cm⁻³
! Total energy: -4.760 eV/atom
&SYSTEM
  ibrav = 0, nat = 18, ntyp = 4
/
ATOMIC_SPECIES
Tb 158.93 Tb.upf
Nd 144.24 Nd.upf
Y 88.91 Y.upf
Ho 164.93 Ho.upf
ATOMIC_POSITIONS crystal
Tb 0.885 0.771 0.810
Nd 0.278 0.557 0.313
Y 0.593 0.186 0.963
Nd 0.385 0.769 0.022
Ho 0.199 0.398 0.011
Y 0.407 0.814 0.463
Ho 0.801 0.602 0.511
Tb 0.113 0.227 0.737
Nd 0.703 0.406 0.208
Nd 0.615 0.231 0.522
Nd 0.985 0.970 0.517
Nd 0.015 0.030 0.017
Nd 0.483 0.966 0.744
Nd 0.297 0.594 0.708
Tb 0.115 0.229 0.310
Nd 0.517 0.034 0.244
Tb 0.887 0.773 0.237
Nd 0.722 0.443 0.813
CELL_PARAMETERS angstrom
-1.139 2.121 -5.137
5.759 -8.780 -1.769
-8.969 -5.800 -0.406

=====

! Tb2NdY2Ho2, relaxed, DFT PBE-GGA; values from VASP
! Volume: 32.7 A^3/atom
! Total magnetic moment: 0.950 μB/cell
! Energy of formation from the pure elements: 0.14 eV/atom
! Theoretical density: 7.04 g cm⁻³
! Total energy: -5.020 eV/atom
&SYSTEM
  ibrav = 0, nat = 7, ntyp = 4
/
ATOMIC_SPECIES
Tb 158.93 Tb.upf
Ho 164.93 Ho.upf
Y 88.91 Y.upf
Nd 144.24 Nd.upf
ATOMIC_POSITIONS crystal
Tb 0.280 0.280 0.161
Ho 0.427 0.427 0.719
Y 0.859 0.859 0.422
Y 0.141 0.141 0.578
Ho 0.573 0.573 0.281
Tb 0.720 0.720 0.839
Nd 0.000 0.000 0.000
CELL_PARAMETERS angstrom
-2.361 0.141 -5.175
-0.684 -4.819 -2.946
-8.393 -2.553 0.632

=====

! TbNd2Y6Ho2, relaxed, DFT PBE-GGA; values from VASP
! Volume: 33.2 A^3/atom
! Total magnetic moment: 0.000 μB/cell
! Energy of formation from the pure elements: 0.15 eV/atom
! Theoretical density: 5.95 g cm⁻³
! Total energy: -5.500 eV/atom
&SYSTEM
  ibrav = 0, nat = 11, ntyp = 4
/
ATOMIC_SPECIES
Y 88.91 Y.upf
Ho 164.93 Ho.upf
Nd 144.24 Nd.upf
Tb 158.93 Tb.upf
ATOMIC_POSITIONS crystal
Y 0.557 0.864 0.212
Ho 0.704 0.296 0.500
Nd 0.865 0.135 0.000
Ho 0.296 0.704 0.500
Tb 0.000 0.000 0.500
Nd 0.135 0.865 0.000
Y 0.443 0.136 0.788
Y 0.294 0.294 0.295
Y 0.136 0.443 0.788
Y 0.706 0.706 0.705
Y 0.864 0.557 0.212
CELL_PARAMETERS angstrom
6.622 -0.615 -0.483
-3.807 5.453 -0.483
-1.887 -3.244 11.478

=====

! Tb6NdYHo2, relaxed, DFT PBE-GGA; values from VASP
! Volume: 32.7 A^3/atom
! Total magnetic moment: 0.000 μB/cell
! Energy of formation from the pure elements: 0.12 eV/atom
! Theoretical density: 7.71 g cm⁻³
! Total energy: -4.696 eV/atom
&SYSTEM
  ibrav = 0, nat = 20, ntyp = 4
/
ATOMIC_SPECIES
Tb 158.93 Tb.upf
Y 88.91 Y.upf
Nd 144.24 Nd.upf
Ho 164.93 Ho.upf
ATOMIC_POSITIONS crystal
Tb 0.056 0.121 0.751
Y 0.250 0.976 0.024
Nd 0.750 0.593 0.407
Nd 0.250 0.407 0.593
Y 0.750 0.024 0.976
Tb 0.444 0.249 0.879
Tb 0.683 0.025 0.572
Tb 0.183 0.572 0.025
Tb 0.379 0.502 0.291
Ho 0.956 0.701 0.807
Tb 0.556 0.751 0.121
Tb 0.944 0.879 0.249
Ho 0.544 0.193 0.299
Tb 0.621 0.498 0.709
Tb 0.317 0.975 0.428
Tb 0.879 0.291 0.502
Ho 0.044 0.299 0.193
Ho 0.456 0.807 0.701
Tb 0.121 0.709 0.498
Tb 0.817 0.428 0.975
CELL_PARAMETERS angstrom
9.178 -2.031 -2.108
0.773 8.538 -2.020
0.773 -2.336 8.457

=====

! Tb2NdYHo5, relaxed, DFT PBE-GGA; values from VASP
! Volume: 32.5 A^3/atom
! Total magnetic moment: 0.000 μB/cell
! Energy of formation from the pure elements: 0.29 eV/atom
! Theoretical density: 7.81 g cm⁻³
! Total energy: -4.535 eV/atom
&SYSTEM
  ibrav = 0, nat = 18, ntyp = 4
/
ATOMIC_SPECIES
Ho 164.93 Ho.upf
Y 88.91 Y.upf
Tb 158.93 Tb.upf
Nd 144.24 Nd.upf
ATOMIC_POSITIONS crystal
Ho 0.339 0.839 0.265
Ho 0.574 0.661 0.735
Ho 0.926 0.426 0.265
Y 0.250 0.750 0.500
Tb 0.387 0.887 0.000
Tb 0.113 0.387 0.000
Ho 0.661 0.161 0.735
Ho 0.074 0.574 0.735
Ho 0.161 0.074 0.735
Nd 0.250 0.250 0.500
Nd 0.750 0.750 0.500
Ho 0.500 0.500 0.000
Ho 0.839 0.926 0.265
Y 0.750 0.250 0.500
Tb 0.887 0.613 0.000
Ho 0.000 0.000 0.000
Ho 0.426 0.339 0.265
Tb 0.613 0.113 0.000
CELL_PARAMETERS angstrom
-3.221 2.240 -7.993
-8.300 -0.741 3.137
5.863 6.368 4.382

=====

! TbNd2Y2Ho, relaxed, DFT PBE-GGA; values from VASP
! Volume: 33.9 A^3/atom
! Total magnetic moment: 0.000 μB/cell
! Energy of formation from the pure elements: 0.27 eV/atom
! Theoretical density: 6.45 g cm⁻³
! Total energy: -5.004 eV/atom
&SYSTEM
  ibrav = 0, nat = 12, ntyp = 4
/
ATOMIC_SPECIES
Nd 144.24 Nd.upf
Y 88.91 Y.upf
Ho 164.93 Ho.upf
Tb 158.93 Tb.upf
ATOMIC_POSITIONS crystal
Nd 0.000 0.232 0.817
Y 0.500 0.228 0.647
Nd 0.500 0.732 0.683
Y 0.000 0.728 0.853
Nd 0.500 0.268 0.317
Ho 0.500 0.500 0.500
Y 0.500 0.772 0.353
Tb 0.000 0.000 0.500
Tb 0.500 0.500 0.000
Nd 0.000 0.768 0.183
Ho 0.000 0.000 0.000
Y 0.000 0.272 0.147
CELL_PARAMETERS angstrom
3.394 0.000 0.000
0.000 6.641 0.000
0.000 0.000 18.044

=====

! TbNd2Y3Ho6, relaxed, DFT PBE-GGA; values from VASP
! Volume: 32.0 A^3/atom
! Total magnetic moment: 0.000 μB/cell
! Energy of formation from the pure elements: 0.02 eV/atom
! Theoretical density: 7.36 g cm⁻³
! Total energy: -5.066 eV/atom
&SYSTEM
  ibrav = 0, nat = 12, ntyp = 4
/
ATOMIC_SPECIES
Y 88.91 Y.upf
Ho 164.93 Ho.upf
Nd 144.24 Nd.upf
Tb 158.93 Tb.upf
ATOMIC_POSITIONS crystal
Y 0.834 0.166 0.500
Ho 0.248 0.248 0.748
Nd 0.667 0.333 0.000
Ho 0.916 0.583 0.748
Ho 0.084 0.417 0.252
Ho 0.752 0.752 0.252
Ho 0.583 0.916 0.748
Y 0.166 0.834 0.500
Nd 0.333 0.667 0.000
Tb 0.000 0.000 0.000
Y 0.500 0.500 0.500
Ho 0.417 0.084 0.252
CELL_PARAMETERS angstrom
-5.922 0.976 1.462
1.673 -0.492 -5.926
-0.371 -11.640 1.931

=====

! Tb2Nd4Y2Ho, relaxed, DFT PBE-GGA; values from VASP
! Volume: 33.4 A^3/atom
! Total magnetic moment: 0.000 μB/cell
! Energy of formation from the pure elements: 0.02 eV/atom
! Theoretical density: 6.84 g cm⁻³
! Total energy: -5.074 eV/atom
&SYSTEM
  ibrav = 0, nat = 9, ntyp = 4
/
ATOMIC_SPECIES
Nd 144.24 Nd.upf
Y 88.91 Y.upf
Ho 164.93 Ho.upf
Tb 158.93 Tb.upf
ATOMIC_POSITIONS crystal
Nd 0.554 0.109 0.332
Nd 0.777 0.555 0.667
Y 0.334 0.667 0.000
Y 0.666 0.333 0.000
Nd 0.446 0.891 0.668
Nd 0.223 0.445 0.333
Ho 0.000 0.000 0.000
Tb 0.889 0.778 0.331
Tb 0.111 0.222 0.669
CELL_PARAMETERS angstrom
5.111 0.000 0.000
-2.556 7.679 0.009
0.000 -2.569 7.651